# Re2AgAs, optimized geometry, DFT GGA-PBE
data_Re2AgAs
_chemical_formula_sum 'Re4 Ag2 As2'
_cell_length_a 8.9898
_cell_length_b 2.9408
_cell_length_c 5.0136
_cell_angle_alpha 90.00
_cell_angle_beta 97.27
_cell_angle_gamma 90.00
_space_group_name_H-M_alt 'C 1 m 1'
_space_group_IT_number 8
loop_
_space_group_symop_operation_xyz
'x,y,z'
'x,-y,z'
'x+1/2,y+1/2,z'
'x+1/2,-y+1/2,z'
loop_
_atom_site_label
_atom_site_type_symbol
_atom_site_fract_x
_atom_site_fract_y
_atom_site_fract_z
_atom_site_occupancy
Re1 Re 0.0000 0.0000 0.0000 1
Re2 Re 0.2382 0.5000 0.1854 1
Ag1 Ag 0.2520 0.0000 0.6997 1
As1 As 0.4826 0.0000 0.4143 1
# ΔE_f ... 0.61 eV/atom
# Total energy ... -7.4903 eV per atom
# Fermi-level density of states ... 0.68 states/eV/atom